(1)
VASP calculation (PBE-GGA) on a geometry-optimized TbPr7Er4 structure.

a = 8.662 Å, b = 8.662 Å, c = 9.525 Å
α = 115.33°, β = 115.33°, γ = 40.84°
Positions (direct):
Tb (0.000, 0.000, 0.000)
Pr (0.087, 0.087, 0.452)
Pr (0.212, 0.212, 0.888)
Pr (0.217, 0.217, 0.245)
Pr (0.500, 0.500, 0.000)
Pr (0.783, 0.783, 0.755)
Pr (0.788, 0.788, 0.112)
Pr (0.913, 0.913, 0.548)
Er (0.332, 0.332, 0.625)
Er (0.431, 0.431, 0.301)
Er (0.569, 0.569, 0.699)
Er (0.668, 0.668, 0.375)

Output
For the energy of formation, the calculation gives 0.211 eV per atom. For the energy above the lowest structure with this stoichiometry, the calculation gives 202 meV per atom. Its magnetization is 0.03 μB per cell. As for the space group: No. 12.

(2)
VASP calculation (PBE-GGA) on a geometry-optimized Tb8PrEr4 structure.

a = 10.011 Å, b = 10.011 Å, c = 10.011 Å
α = 42.69°, β = 42.69°, γ = 42.69°
Positions (direct):
Tb (0.197, 0.751, 0.751)
Tb (0.218, 0.218, 0.218)
Tb (0.249, 0.249, 0.803)
Tb (0.249, 0.803, 0.249)
Tb (0.751, 0.197, 0.751)
Tb (0.751, 0.751, 0.197)
Tb (0.782, 0.782, 0.782)
Tb (0.803, 0.249, 0.249)
Pr (0.500, 0.500, 0.500)
Er (0.000, 0.000, 0.000)
Er (0.000, 0.500, 0.500)
Er (0.500, 0.000, 0.500)
Er (0.500, 0.500, 0.000)

Output
For the energy of formation, the calculation gives 0.193 eV per atom. Its magnetization is 0.00 μB per cell. As for the space group: No. 166.

(3)
VASP calculation (PBE-GGA) on a geometry-optimized Tb2PrEr9 structure.

a = 11.160 Å, b = 11.160 Å, c = 3.502 Å
α = 90.00°, β = 90.00°, γ = 120.00°
Positions (direct):
Tb (0.333, 0.667, 0.000)
Tb (0.667, 0.333, 0.000)
Pr (0.000, 0.000, 0.000)
Er (0.000, 0.500, 0.000)
Er (0.178, 0.356, 0.500)
Er (0.178, 0.822, 0.500)
Er (0.356, 0.178, 0.500)
Er (0.500, 0.000, 0.000)
Er (0.500, 0.500, 0.000)
Er (0.644, 0.822, 0.500)
Er (0.822, 0.178, 0.500)
Er (0.822, 0.644, 0.500)

Output
For the energy of formation, the calculation gives 0.043 eV per atom. For the energy above the lowest structure with this stoichiometry, the calculation gives 19 meV per atom. Its magnetization is 0.00 μB per cell. As for the space group: No. 191.